Model a:
Entry from Alexandria via LeMat-Bulk: a relaxed RhS2Br crystal (GGA-PBE).

Cell lengths 6.612, 4.550, 11.034 Å; angles 90.00, 90.00, 90.00 degrees
Element x y z (fractional)
Rh (0.031, 0.250, 0.125)
Rh (0.469, 0.750, 0.625)
Rh (0.531, 0.250, 0.375)
Rh (0.969, 0.750, 0.875)
S (0.087, 0.750, 0.079)
S (0.189, 0.250, 0.318)
S (0.311, 0.750, 0.818)
S (0.413, 0.250, 0.579)
S (0.587, 0.750, 0.421)
S (0.689, 0.250, 0.182)
S (0.811, 0.750, 0.682)
S (0.913, 0.250, 0.921)
Br (0.081, 0.750, 0.381)
Br (0.419, 0.250, 0.881)
Br (0.581, 0.750, 0.119)
Br (0.919, 0.250, 0.619)

Summary:
space-group type	Pnma (62)

***

Model b:
Entry from Alexandria via LeMat-Bulk: a relaxed RhS2Br crystal (GGA-PBE).

Cell lengths 5.595, 6.318, 11.935 Å; angles 90.00, 117.94, 90.00 degrees
Element x y z (fractional)
Rh (0.153, 0.064, 0.402)
Rh (0.153, 0.436, 0.902)
Rh (0.847, 0.564, 0.098)
Rh (0.847, 0.936, 0.598)
S (0.263, 0.065, 0.620)
S (0.263, 0.435, 0.120)
S (0.416, 0.683, 0.060)
S (0.416, 0.817, 0.560)
S (0.584, 0.183, 0.440)
S (0.584, 0.317, 0.940)
S (0.737, 0.565, 0.880)
S (0.737, 0.935, 0.380)
Br (0.032, 0.560, 0.677)
Br (0.032, 0.940, 0.177)
Br (0.968, 0.060, 0.823)
Br (0.968, 0.440, 0.323)

Summary:
space-group type	P2_1/c (14)

***

Model c:
Entry from Alexandria via LeMat-Bulk: a relaxed RhS2Br crystal (GGA-PBE).

Cell lengths 3.593, 6.991, 8.376 Å; angles 110.86, 102.22, 90.00 degrees
Element x y z (fractional)
Rh (0.000, 0.000, 0.000)
Rh (0.498, 0.563, 0.996)
S (0.374, 0.266, 0.744)
S (0.416, 0.031, 0.830)
S (0.585, 0.929, 0.172)
S (0.931, 0.653, 0.861)
Br (0.083, 0.420, 0.168)
Br (0.283, 0.764, 0.560)

Summary:
space-group type	P1 (1)

***

How do the energies compare? Relative to the most stable structure, in meV/atom: model a 359; model b 0; model c 93.

***

Model a:
Entry from Alexandria via LeMat-Bulk: a relaxed RhS2Br crystal (GGA-PBE).

Cell lengths 6.508, 8.317, 6.382 Å; angles 90.00, 90.00, 90.00 degrees
Element x y z (fractional)
Rh (0.025, 0.153, 0.000)
Rh (0.475, 0.653, 0.500)
Rh (0.525, 0.347, 0.000)
Rh (0.975, 0.847, 0.500)
S (0.196, 0.976, 0.740)
S (0.204, 0.721, 0.730)
S (0.296, 0.221, 0.230)
S (0.304, 0.476, 0.240)
S (0.696, 0.524, 0.740)
S (0.704, 0.779, 0.730)
S (0.796, 0.279, 0.230)
S (0.804, 0.024, 0.240)
Br (0.204, 0.351, 0.759)
Br (0.296, 0.851, 0.259)
Br (0.704, 0.149, 0.759)
Br (0.796, 0.649, 0.259)

Summary:
space-group type	Pna2_1 (33)

***

Model b:
Entry from Alexandria via LeMat-Bulk: a relaxed RhS2Br crystal (GGA-PBE).

Cell lengths 4.692, 4.692, 3.012 Å; angles 90.00, 90.00, 90.00 degrees
Element x y z (fractional)
Rh (0.000, 0.000, 0.000)
S (0.000, 0.500, 0.500)
S (0.500, 0.000, 0.500)
Br (0.500, 0.500, 0.000)

Summary:
space-group type	P4/mmm (123)

***

Model c:
Entry from Alexandria via LeMat-Bulk: a relaxed RhS2Br crystal (GGA-PBE).

Cell lengths 12.617, 12.617, 3.842 Å; angles 90.00, 90.00, 164.64 degrees
Element x y z (fractional)
Rh (0.189, 0.811, 0.750)
Rh (0.811, 0.189, 0.250)
S (0.287, 0.713, 0.750)
S (0.375, 0.625, 0.250)
S (0.625, 0.375, 0.750)
S (0.713, 0.287, 0.250)
Br (0.455, 0.545, 0.750)
Br (0.545, 0.455, 0.250)

Summary:
space-group type	Cmcm (63)

***

How do the energies compare? Relative to the most stable structure, in meV/atom: model a 0; model b 1084; model c 354.

***

Model a:
Entry from Alexandria via LeMat-Bulk: a relaxed RhS2Br crystal (GGA-PBE).

Cell lengths 3.639, 3.639, 7.683 Å; angles 111.40, 111.40, 57.14 degrees
Element x y z (fractional)
Rh (0.000, 0.000, 0.000)
S (0.406, 0.406, 0.170)
S (0.594, 0.594, 0.830)
Br (0.000, 0.000, 0.500)

Summary:
space-group type	C2/m (12)

***

Model b:
Entry from Alexandria via LeMat-Bulk: a relaxed RhS2Br crystal (GGA-PBE).

Cell lengths 16.668, 16.668, 4.659 Å; angles 90.00, 90.00, 171.12 degrees
Element x y z (fractional)
Rh (0.026, 0.974, 0.750)
Rh (0.974, 0.026, 0.250)
S (0.044, 0.956, 0.250)
S (0.097, 0.903, 0.750)
S (0.903, 0.097, 0.250)
S (0.956, 0.044, 0.750)
Br (0.302, 0.698, 0.750)
Br (0.698, 0.302, 0.250)

Summary:
space-group type	Cmcm (63)

***

Model c:
Entry from Alexandria via LeMat-Bulk: a relaxed RhS2Br crystal (GGA-PBE).

Cell lengths 7.939, 7.939, 5.847 Å; angles 94.36, 94.36, 147.02 degrees
Element x y z (fractional)
Rh (0.196, 0.804, 0.750)
Rh (0.804, 0.196, 0.250)
S (0.012, 0.642, 0.332)
S (0.358, 0.988, 0.168)
S (0.642, 0.012, 0.832)
S (0.988, 0.358, 0.668)
Br (0.408, 0.592, 0.250)
Br (0.592, 0.408, 0.750)

Summary:
space-group type	C2/c (15)

***

How do the energies compare? Relative to the most stable structure, in meV/atom: model a 200; model b 471; model c 0.

***

Model a:
Entry from Alexandria via LeMat-Bulk: a relaxed Rh3SBr crystal (GGA-PBE).

Cell lengths 4.620, 4.620, 4.620 Å; angles 90.00, 90.00, 90.00 degrees
Element x y z (fractional)
Rh (0.000, 0.000, 0.500)
Rh (0.000, 0.500, 0.000)
Rh (0.500, 0.000, 0.000)
S (0.500, 0.500, 0.500)
Br (0.000, 0.000, 0.000)

Summary:
space-group type	Pm-3m (221)

***

Model b:
Entry from Alexandria via LeMat-Bulk: a relaxed Rh3SBr crystal (GGA-PBE).

Cell lengths 4.465, 4.465, 4.465 Å; angles 90.00, 90.00, 90.00 degrees
Element x y z (fractional)
Rh (0.000, 0.000, 0.500)
Rh (0.000, 0.500, 0.000)
Rh (0.500, 0.000, 0.000)
S (0.000, 0.000, 0.000)
Br (0.500, 0.500, 0.500)

Summary:
space-group type	Pm-3m (221)

***

How do the energies compare? Relative to the most stable structure, in meV/atom: model a 854; model b 0.